(1)
A plane-wave DFT calculation with PBEsol was carried out for an optimized crystal structure of KSc2Rh.

Cell and atoms, written as POSCAR:
```
KSc2Rh
1.0
3.892 0.000 0.000
-1.946 3.371 0.000
0.000 0.000 27.223
K Sc Rh
3 6 3
Cartesian
0.000 0.000 0.000
0.000 2.247 18.148
1.946 1.124 9.074
0.000 0.000 5.774
0.000 0.000 21.448
0.000 2.247 12.374
0.000 2.247 23.923
1.946 1.124 3.300
1.946 1.124 14.849
0.000 0.000 13.611
0.000 2.247 4.537
1.946 1.124 22.686
```

Output
**SG**: R-3m, No. 166
**DFT formation energy**: -16 kJ per mole of atoms
**E above lowest polymorph**: 0.18 eV per formula unit

(2)
A plane-wave DFT calculation with PBEsol was carried out for an optimized crystal structure of TiH2I.

Cell and atoms, written as POSCAR:
```
TiH2I
1.0
5.898 0.000 0.000
0.000 5.898 0.000
0.000 0.000 5.898
Ti H I
4 8 4
Cartesian
0.000 0.000 0.000
0.000 2.949 2.949
2.949 0.000 2.949
2.949 2.949 0.000
1.474 1.474 1.474
1.474 1.474 4.423
1.474 4.423 1.474
1.474 4.423 4.423
4.423 1.474 1.474
4.423 1.474 4.423
4.423 4.423 1.474
4.423 4.423 4.423
0.000 0.000 2.949
0.000 2.949 0.000
2.949 0.000 0.000
2.949 2.949 2.949
```

Output
**VASP energy**: -3.4638 eV/atom
**SG**: Fm-3m, No. 225

(3)
A plane-wave DFT calculation with PBEsol was carried out for an optimized crystal structure of Zr2W.

Cell and atoms, written as POSCAR:
```
Zr2W
1.0
2.832 0.000 0.000
0.000 4.871 0.000
0.000 0.000 8.357
Zr W
4 2
Cartesian
0.000 0.000 1.385
0.000 0.000 6.972
1.416 2.435 2.794
1.416 2.435 5.564
0.000 0.000 4.179
1.416 2.435 0.000
```

Output
**SG**: Immm, No. 71
**DFT formation energy**: 26 kJ per mole of atoms

(4)
A plane-wave DFT calculation with PBEsol was carried out for an optimized crystal structure of Be4MoAu.

Cell and atoms, written as POSCAR:
```
Be4MoAu
1.0
0.000 3.160 3.160
3.160 0.000 3.160
3.160 3.160 0.000
Be Mo Au
4 1 1
Cartesian
2.396 2.396 2.396
3.924 3.924 2.396
3.924 2.396 3.924
2.396 3.924 3.924
4.740 4.740 4.740
0.000 0.000 0.000
```

Output
**SG**: F-43m, No. 216
**DFT formation energy**: 1 kJ per mole of atoms

(5)
A plane-wave DFT calculation with PBEsol was carried out for an optimized crystal structure of SCl3O.

Cell and atoms, written as POSCAR:
```
SCl3O
1.0
4.682 0.000 0.000
0.000 4.682 0.000
0.000 0.000 4.682
S Cl O
1 3 1
Cartesian
0.000 0.000 0.000
0.000 0.000 2.341
0.000 2.341 0.000
2.341 0.000 0.000
2.341 2.341 2.341
```

Output
**E_form (uncorrected)**: 663 meV/atom
**SG**: Pm-3m, No. 221

(6)
A plane-wave DFT calculation with PBEsol was carried out for an optimized crystal structure of MnCl2.

Cell and atoms, written as POSCAR:
```
MnCl2
1.0
3.633 0.000 0.000
-1.817 3.147 0.000
0.000 0.000 18.271
Mn Cl
3 6
Cartesian
0.000 0.000 0.000
0.000 2.098 12.181
1.817 1.049 6.090
0.000 0.000 4.713
0.000 0.000 13.559
0.000 2.098 7.468
0.000 2.098 16.894
1.817 1.049 1.378
1.817 1.049 10.803
```

Output
**E_form (uncorrected)**: -971 meV/atom
**SG**: R-3m, No. 166

(7)
A plane-wave DFT calculation with PBEsol was carried out for an optimized crystal structure of Zr2NbPbI.

Cell and atoms, written as POSCAR:
```
Zr2NbPbI
1.0
5.196 0.000 0.000
0.000 5.196 0.000
0.000 0.000 4.982
Zr Nb Pb I
2 1 1 1
Cartesian
0.000 2.598 0.000
2.598 0.000 0.000
0.000 0.000 2.491
2.598 2.598 2.491
0.000 0.000 0.000
```

Output
**E_form (uncorrected)**: 1004 meV/atom
**SG**: P4/mmm, No. 123

(8)
A plane-wave DFT calculation with PBEsol was carried out for an optimized crystal structure of HgC3.

Cell and atoms, written as POSCAR:
```
HgC3
1.0
4.822 0.000 0.000
-2.411 4.176 0.000
0.000 0.000 6.543
Hg C
2 6
Cartesian
0.000 2.784 1.636
2.411 1.392 4.907
0.000 0.847 4.907
-1.678 3.752 4.907
0.733 0.423 1.636
1.678 3.752 4.907
4.088 0.423 1.636
2.411 3.329 1.636
```

Output
**SG**: P6_3/mmc, No. 194
**DFT formation energy**: 237 kJ per mole of atoms
**E above lowest polymorph**: 6.87 eV per formula unit